Entry 1:
Here is an optimized crystal structure of Zr4TlCo from Alexandria via LeMat-Bulk. Energies are from PBE.

Calculated values
- E_form (eV/atom) = 0.524

Cell: 8.057 8.057 8.057 Å, 90.00 90.00 90.00°
Space group F-43m (No. 216)
Unique sites:
1 Zr 0.124 0.124 0.124 [16 per cell]
2 Tl 0.000 0.000 0.500 [4 per cell]
3 Co 0.250 0.250 0.750 [4 per cell]

***

Entry 2:
Here is an optimized crystal structure of Pm2ErCo from Alexandria via LeMat-Bulk. Energies are from PBE.

Calculated values
- E_form (eV/atom) = 0.057

Cell: 3.507 3.507 8.774 Å, 90.00 90.00 90.00°
Space group P4/mmm (No. 123)
Unique sites:
1 Pm 0.000 0.000 0.191 [2 per cell]
2 Er 0.500 0.500 0.500 [1 per cell]
3 Co 0.500 0.500 0.000 [1 per cell]

***

Entry 3:
Here is an optimized crystal structure of KAg2P from Alexandria via LeMat-Bulk. Energies are from PBE.

Calculated values
- E_form (eV/atom) = 0.090

Cell: 3.392 4.513 6.719 Å, 90.00 104.03 90.00°
Space group Pm (No. 6)
Unique sites:
1 K 0.000 0.000 0.000 [1 per cell]
2 Ag 0.281 0.500 0.585 [1 per cell]
3 Ag 0.724 0.000 0.465 [1 per cell]
4 P 0.638 0.500 0.287 [1 per cell]

***

Entry 4:
Here is an optimized crystal structure of Ag4RhPb from Alexandria via LeMat-Bulk. Energies are from PBE.

Calculated values
- E_form (eV/atom) = 0.301

Cell: 7.767 7.767 7.767 Å, 90.00 90.00 90.00°
Space group F-43m (No. 216)
Unique sites:
1 Ag 0.124 0.124 0.376 [16 per cell]
2 Rh 0.250 0.250 0.750 [4 per cell]
3 Pb 0.000 0.000 0.000 [4 per cell]

***

Entry 5:
Here is an optimized crystal structure of Ac12AlCo6 from Alexandria via LeMat-Bulk. Energies are from PBE.

Calculated values
- E_form (eV/atom) = -0.045

Cell: 10.583 10.583 10.583 Å, 90.00 90.00 90.00°
Space group Im-3 (No. 204)
Unique sites:
1 Ac 0.000 0.187 0.310 [24 per cell]
2 Al 0.000 0.000 0.000 [2 per cell]
3 Co 0.000 0.391 0.500 [12 per cell]

***

Entry 6:
Here is an optimized crystal structure of CrB3Rh from Alexandria via LeMat-Bulk. Energies are from PBE.

Calculated values
- E_form (eV/atom) = 1.479

Cell: 3.935 3.935 3.935 Å, 90.00 90.00 90.00°
Space group Pm-3m (No. 221)
Unique sites:
1 Cr 0.000 0.000 0.000 [1 per cell]
2 B 0.000 0.500 0.500 [3 per cell]
3 Rh 0.500 0.500 0.500 [1 per cell]

***

Entry 7:
Here is an optimized crystal structure of CsHgCl2 from Alexandria via LeMat-Bulk. Energies are from PBE.

Calculated values
- formation energy from raw total energies (meV per atom) = -1055

Cell: 6.711 6.711 15.987 Å, 90.00 90.00 90.00°
Space group I-42d (No. 122)
Unique sites:
1 Cs 0.000 0.000 0.000 [4 per cell]
2 Hg 0.000 0.000 0.500 [4 per cell]
3 Cl 0.165 0.250 0.625 [8 per cell]

***

Entry 8:
Here is an optimized crystal structure of CeNdGe3 from Alexandria via LeMat-Bulk. Energies are from PBE.

Calculated values
- E_form (eV/atom) = -0.665

Cell: 4.323 26.886 4.097 Å, 90.00 90.00 90.00°
Space group Cmcm (No. 63)
Unique sites:
1 Ce 0.000 0.071 0.250 [4 per cell]
2 Nd 0.000 0.202 0.750 [4 per cell]
3 Ge 0.000 0.318 0.750 [4 per cell]
4 Ge 0.000 0.379 0.250 [4 per cell]
5 Ge 0.000 0.473 0.250 [4 per cell]